[1]
# ZnIn3Cu | Alexandria | SCAN | PBEsol geometry
data_ZnIn3Cu
_chemical_formula_sum 'Zn1 In3 Cu1'
_symmetry_space_group_name_H-M 'P m -3 m'
_symmetry_Int_Tables_number 221
_symmetry_space_group_name_Hall '-P 4 2 3'
_cell_length_a 4.9601
_cell_length_b 4.9601
_cell_length_c 4.9601
_cell_angle_alpha 90.00
_cell_angle_beta 90.00
_cell_angle_gamma 90.00
loop_
_atom_site_label
_atom_site_fract_x
_atom_site_fract_y
_atom_site_fract_z
Zn1 0.0000 0.0000 0.0000
In1 0.0000 0.5000 0.5000
Cu1 0.5000 0.5000 0.5000
# Energy of formation: 0.286 eV/atom


[2]
# Zn2InCu | Alexandria | SCAN | PBEsol geometry
data_Zn2InCu
_chemical_formula_sum 'Zn2 In1 Cu1'
_symmetry_space_group_name_H-M 'P 4 m m'
_symmetry_Int_Tables_number 99
_symmetry_space_group_name_Hall 'P 4 -2'
_cell_length_a 2.9109
_cell_length_b 2.9109
_cell_length_c 7.4740
_cell_angle_alpha 90.00
_cell_angle_beta 90.00
_cell_angle_gamma 90.00
loop_
_atom_site_label
_atom_site_fract_x
_atom_site_fract_y
_atom_site_fract_z
Zn1 0.0000 0.0000 0.0000
Zn2 0.5000 0.5000 0.2296
In1 0.5000 0.5000 0.6914
Cu1 0.0000 0.0000 0.4302
# Energy of formation: 0.123 eV/atom


[3]
# ZrIn2Cu | Alexandria | SCAN | PBEsol geometry
data_ZrIn2Cu
_chemical_formula_sum 'Zr1 In2 Cu1'
_symmetry_space_group_name_H-M 'P 4/m m m'
_symmetry_Int_Tables_number 123
_symmetry_space_group_name_Hall '-P 4 2'
_cell_length_a 4.2580
_cell_length_b 4.2580
_cell_length_c 4.1640
_cell_angle_alpha 90.00
_cell_angle_beta 90.00
_cell_angle_gamma 90.00
loop_
_atom_site_label
_atom_site_fract_x
_atom_site_fract_y
_atom_site_fract_z
Zr1 0.0000 0.0000 0.0000
In1 0.0000 0.5000 0.5000
Cu1 0.5000 0.5000 0.0000
# Energy of formation: -0.294 eV/atom


[4]
# CuIr8 | Alexandria | SCAN | PBEsol geometry
data_CuIr8
_chemical_formula_sum 'Cu2 Ir16'
_symmetry_space_group_name_H-M 'I 4/m m m'
_symmetry_Int_Tables_number 139
_symmetry_space_group_name_Hall '-I 4 2'
_cell_length_a 8.0887
_cell_length_b 8.0887
_cell_length_c 3.8204
_cell_angle_alpha 90.00
_cell_angle_beta 90.00
_cell_angle_gamma 90.00
loop_
_atom_site_label
_atom_site_fract_x
_atom_site_fract_y
_atom_site_fract_z
Cu1 0.0000 0.0000 0.0000
Ir1 0.0000 0.3328 0.0000
Ir2 0.1693 0.1693 0.5000
# Energy of formation: 0.079 eV/atom


[5]
# Cu3Ir | Alexandria | SCAN | PBEsol geometry
data_Cu3Ir
_chemical_formula_sum 'Cu6 Ir2'
_symmetry_space_group_name_H-M 'I m m 2'
_symmetry_Int_Tables_number 44
_symmetry_space_group_name_Hall 'I 2 -2'
_cell_length_a 2.5942
_cell_length_b 8.4318
_cell_length_c 4.4542
_cell_angle_alpha 90.00
_cell_angle_beta 90.00
_cell_angle_gamma 90.00
loop_
_atom_site_label
_atom_site_fract_x
_atom_site_fract_y
_atom_site_fract_z
Cu1 0.0000 0.0000 0.0000
Cu2 0.0000 0.2513 0.3400
Ir1 0.0000 0.5000 0.9986
# Energy of formation: 0.070 eV/atom


[6]
# Cu3Ir2 | Alexandria | SCAN | PBEsol geometry
data_Cu3Ir2
_chemical_formula_sum 'Cu9 Ir6'
_symmetry_space_group_name_H-M 'R -3 m'
_symmetry_Int_Tables_number 166
_symmetry_space_group_name_Hall '-R 3 2"'
_cell_length_a 2.6388
_cell_length_b 2.6388
_cell_length_c 31.5573
_cell_angle_alpha 90.00
_cell_angle_beta 90.00
_cell_angle_gamma 120.00
loop_
_atom_site_label
_atom_site_fract_x
_atom_site_fract_y
_atom_site_fract_z
Cu1 0.0000 0.0000 0.0000
Cu2 0.0000 0.0000 0.1980
Ir1 0.0000 0.0000 0.4010
# Energy of formation: 0.064 eV/atom


[7]
# Cu5Ir | Alexandria | SCAN | PBEsol geometry
data_Cu5Ir
_chemical_formula_sum 'Cu10 Ir2'
_symmetry_space_group_name_H-M 'A m m 2'
_symmetry_Int_Tables_number 38
_symmetry_space_group_name_Hall 'A 2 -2'
_cell_length_a 4.2078
_cell_length_b 2.5922
_cell_length_c 13.1059
_cell_angle_alpha 90.00
_cell_angle_beta 90.00
_cell_angle_gamma 90.00
loop_
_atom_site_label
_atom_site_fract_x
_atom_site_fract_y
_atom_site_fract_z
Cu1 0.0000 0.0000 0.0000
Cu2 0.0000 0.0000 0.3303
Cu3 0.0000 0.0000 0.6635
Cu4 0.5000 0.0000 0.2116
Cu5 0.5000 0.0000 0.5513
Ir1 0.5000 0.0000 0.8807
# Excess energy over the best structure of this formula in the dataset: 0.05 eV/f.u.
# Energy of formation: 0.069 eV/atom


[8]
# Cu3Ir | Alexandria | SCAN | PBEsol geometry
data_Cu3Ir
_chemical_formula_sum 'Cu3 Ir1'
_symmetry_space_group_name_H-M 'P m m 2'
_symmetry_Int_Tables_number 25
_symmetry_space_group_name_Hall 'P 2 -2'
_cell_length_a 2.6570
_cell_length_b 4.2164
_cell_length_c 4.3511
_cell_angle_alpha 90.00
_cell_angle_beta 90.00
_cell_angle_gamma 90.00
loop_
_atom_site_label
_atom_site_fract_x
_atom_site_fract_y
_atom_site_fract_z
Cu1 0.0000 0.0000 0.0000
Cu2 0.0000 0.5000 0.3694
Cu3 0.5000 0.0000 0.5012
Ir1 0.5000 0.5000 0.8712
# Energy of formation: 0.094 eV/atom